1.
InH4Pd12, relaxed, DFT PBE-GGA; final energy = -4.674 eV/atom; symmetry = Im-3 (204); calculated volume = 13.07 Å³ per atom
1.0
6.610 0.000 0.000
-2.203 6.232 0.000
-2.203 -3.116 5.397
In H Pd
1 4 12
Direct
0.000 0.000 0.000
0.000 0.500 0.000
0.500 0.000 0.000
0.500 0.500 0.500
0.000 0.000 0.500
0.814 0.311 0.125
0.311 0.497 0.186
0.875 0.186 0.689
0.311 0.125 0.814
0.125 0.814 0.311
0.689 0.503 0.814
0.497 0.186 0.311
0.503 0.814 0.689
0.689 0.875 0.186
0.814 0.689 0.503
0.186 0.311 0.497
0.186 0.689 0.875

2.
ErTh2Bi2, relaxed, DFT PBE-GGA; final energy = -5.613 eV/atom; symmetry = C2/m (12); calculated volume = 33.92 Å³ per atom
1.0
-0.167 -1.010 -4.591
4.481 -1.396 -0.317
-5.292 -5.447 5.265
Er Th Bi
1 2 2
Direct
0.000 0.000 0.000
0.251 0.749 0.500
0.749 0.251 0.500
0.532 0.532 0.191
0.468 0.468 0.809

3.
PmScNiIr, relaxed, DFT PBE-GGA; final energy = -6.985 eV/atom; symmetry = F-43m (216); calculated volume = 19.07 Å³ per atom
1.0
-1.889 -4.294 0.807
2.736 -3.533 1.641
-0.548 -1.558 4.464
Sc Ni Ir Pm
1 1 1 1
Direct
0.500 0.500 0.500
0.250 0.250 0.250
0.750 0.750 0.750
0.000 0.000 0.000

4.
NdNiAs, relaxed, DFT PBE-GGA; final energy = -6.093 eV/atom; symmetry = P-6m2 (187); calculated volume = 19.94 Å³ per atom
1.0
4.125 0.000 0.000
-2.062 3.572 0.000
0.000 0.000 4.061
Ni As Nd
1 1 1
Direct
0.333 0.667 0.000
0.000 0.000 0.000
0.667 0.333 0.500

5.
Ti2Cu2Si3, relaxed, DFT PBE-GGA; ΔE_f (raw) = -0.260 eV/atom; symmetry = C2/m (12); calculated volume = 14.04 Å³ per atom
1.0
-0.215 -2.879 -0.668
3.202 -0.364 -6.038
8.771 -3.070 3.835
Ti Cu Si
4 4 6
Direct
0.267 0.082 0.384
0.733 0.918 0.616
0.437 0.192 0.934
0.563 0.808 0.066
0.033 0.228 0.706
0.967 0.772 0.294
0.369 0.558 0.704
0.631 0.442 0.296
0.142 0.874 0.842
0.858 0.126 0.158
0.206 0.487 0.102
0.794 0.513 0.898
0.419 0.686 0.476
0.581 0.314 0.524

6.
ZnNiPt6, relaxed, DFT PBE-GGA; final energy = -5.609 eV/atom; symmetry = P4/mmm (123); calculated volume = 14.93 Å³ per atom
1.0
-0.568 3.514 1.596
-2.001 -1.647 2.915
6.641 -0.793 4.111
Zn Ni Pt
1 1 6
Direct
0.000 0.000 0.000
0.000 0.000 0.500
0.500 0.500 0.000
0.500 0.500 0.500
0.500 0.000 0.253
0.500 0.000 0.747
0.000 0.500 0.253
0.000 0.500 0.747

7.
K16Na12Zn, relaxed, DFT PBE-GGA; final energy = -1.161 eV/atom; symmetry = Cm (8); calculated volume = 53.84 Å³ per atom
1.0
-11.145 0.181 5.619
0.296 -9.875 -7.630
9.077 -1.247 8.785
K Na Zn
16 12 1
Direct
0.406 0.406 0.316
0.001 0.001 0.005
0.987 0.987 0.643
0.292 0.292 0.699
0.654 0.432 0.030
0.582 0.293 0.594
0.998 0.680 0.410
0.988 0.634 0.001
0.714 0.319 0.309
0.405 0.992 0.679
0.992 0.405 0.679
0.319 0.714 0.309
0.634 0.988 0.001
0.680 0.998 0.410
0.293 0.582 0.594
0.432 0.654 0.030
0.827 0.827 0.215
0.652 0.652 0.834
0.337 0.150 0.971
0.813 0.640 0.623
0.183 0.999 0.351
0.359 0.993 0.171
0.182 0.800 0.822
0.800 0.182 0.822
0.993 0.359 0.171
0.999 0.183 0.351
0.640 0.813 0.623
0.150 0.337 0.971
0.687 0.687 0.364

8.
Er8Sb2Au3, relaxed, DFT PBE-GGA; ΔE_f (raw) = -0.546 eV/atom; symmetry = C2/m (12); calculated volume = 28.71 Å³ per atom
1.0
6.504 0.000 0.495
0.000 7.020 0.000
-2.154 -3.510 8.009
Er Sb Au
8 2 3
Direct
0.778 0.552 0.104
0.222 0.448 0.896
0.851 0.146 0.292
0.149 0.854 0.708
0.638 0.622 0.741
0.638 0.119 0.741
0.362 0.881 0.259
0.362 0.378 0.259
0.269 0.273 0.546
0.731 0.727 0.454
0.500 0.000 0.000
0.000 0.194 0.000
0.000 0.806 0.000

9.
CsRbAuSe2, relaxed, DFT PBE-GGA; ΔE_f (raw) = -0.693 eV/atom; symmetry = Cmme (67); calculated volume = 46.86 Å³ per atom
1.0
-4.220 -2.906 -2.620
4.725 0.699 -8.385
1.619 -7.608 5.830
Cs Rb Au Se
2 2 2 4
Direct
0.266 0.750 0.500
0.734 0.250 0.500
0.500 0.750 0.000
0.500 0.250 0.000
0.000 0.000 0.000
0.000 0.500 0.000
0.773 0.881 0.761
0.773 0.619 0.239
0.227 0.381 0.761
0.227 0.119 0.239

10.
NdTlHg3, relaxed, DFT PBE-GGA; final energy = -1.784 eV/atom; symmetry = Ama2 (40); calculated volume = 29.24 Å³ per atom
1.0
5.591 -0.178 0.000
-2.727 4.884 0.000
0.000 0.000 10.903
Nd Tl Hg
2 2 6
Direct
0.895 0.895 0.000
0.895 0.895 0.500
0.916 0.527 0.750
0.527 0.916 0.250
0.558 0.222 0.994
0.558 0.222 0.506
0.233 0.205 0.750
0.222 0.558 0.494
0.222 0.558 0.006
0.205 0.233 0.250

11.
Zr4Al16Co3, relaxed, DFT PBE-GGA; final energy = -5.490 eV/atom; symmetry = P4/mmm (123); calculated volume = 16.35 Å³ per atom
1.0
-5.277 -1.377 -2.214
2.491 -1.180 -5.201
1.426 -10.328 3.026
Zr Al Co
4 16 3
Direct
0.500 0.000 0.808
0.000 0.500 0.192
0.000 0.500 0.808
0.500 0.000 0.192
0.000 0.000 0.786
0.276 0.276 0.000
0.500 0.500 0.805
0.724 0.276 0.000
0.500 0.500 0.195
0.724 0.724 0.000
0.000 0.000 0.214
0.747 0.747 0.619
0.747 0.253 0.381
0.253 0.253 0.619
0.253 0.747 0.381
0.276 0.724 0.000
0.747 0.747 0.381
0.747 0.253 0.619
0.253 0.253 0.381
0.253 0.747 0.619
0.000 0.500 0.500
0.000 0.000 0.000
0.500 0.000 0.500

| no. | D(E_F) (states/eV/f.u.) | size of the total moment (μB per formula unit) |
| --- | --- | --- |
| 1 | 16.49 | 0.0 |
| 2 | 3.97 | 0.0 |
| 3 | 2.72 | 0.0 |
| 4 | 1.53 | 0.0 |
| 5 | 4.34 | 0.0 |
| 6 | 11.83 | 0.6 |
| 7 | 19.71 | 0.0 |
| 8 | 11.64 | 0.0 |
| 9 | 5.90 | 1.1 |
| 10 | 1.89 | 0.0 |
| 11 | 5.66 | 0.0 |